# Zn2NiPd | Alexandria | PBE | optimized geometry
data_Zn2NiPd
_cell_length_a 3.3644
_cell_length_b 3.9890
_cell_length_c 3.9890
_cell_angle_alpha 90.00
_cell_angle_beta 90.00
_cell_angle_gamma 90.00
_symmetry_space_group_name_H-M 'P 1'
_symmetry_Int_Tables_number 1
loop_
_symmetry_equiv_pos_as_xyz
'x,y,z'
loop_
_atom_site_label
_atom_site_fract_x
_atom_site_fract_y
_atom_site_fract_z
Ni1 0.5000 0.0000 0.0000
Zn1 0.0000 0.0000 0.5000
Zn2 0.0000 0.5000 0.0000
Pd1 0.5000 0.5000 0.5000
# Calculated formation energy: -1.50 eV per formula unit
# Calculated volume: 54 Å³ per cell
# Density of states at the Fermi level: 0.57 states/eV per cell
# Symmetry: P4/mmm (123)